# 1
Density functional theory data (GGA-PBE) for Ca2GaCu after structural relaxation.

Properties
M_tot ... 0.00 μB per formula unit
Crystal system ... trigonal

a = 3.8172 Å, b = 3.8172 Å, c = 29.5386 Å
α = 90.00°, β = 90.00°, γ = 120.00°
Space group R-3m (No. 166, hexagonal axes)
Symmetry-distinct sites (fractional):
Ca: 0.0000 0.0000 0.1043 x6
Ga: 0.0000 0.0000 0.0000 x3
Cu: 0.0000 0.0000 0.5000 x3


# 2
Density functional theory data (GGA-PBE) for CaGa7Cu12 after structural relaxation.

Properties
M_tot ... 0.00 μB per formula unit
Crystal system ... trigonal

a = 12.6094 Å, b = 12.6094 Å, c = 6.4329 Å
α = 90.00°, β = 90.00°, γ = 120.00°
Space group R-3m (No. 166, hexagonal axes)
Symmetry-distinct sites (fractional):
Ca: 0.0000 0.0000 0.0000 x3
Ga: 0.0000 0.0000 0.5000 x3
Ga: 0.1019 0.5510 0.3616 x18
Cu: 0.0000 0.2697 0.0000 x18
Cu: 0.1073 0.5536 0.9525 x18


# 3
Density functional theory data (GGA-PBE) for Ca2Ga6Cu after structural relaxation.

Properties
M_tot ... 0.00 μB per formula unit
Crystal system ... trigonal

a = 5.9025 Å, b = 5.9025 Å, c = 5.8153 Å
α = 90.00°, β = 90.00°, γ = 120.00°
Space group P-3m1 (No. 164)
Symmetry-distinct sites (fractional):
Ca: 0.3333 0.6667 0.1447 x2
Ga: 0.1729 0.3457 0.6745 x6
Cu: 0.0000 0.0000 0.0000 x1


# 4
Density functional theory data (GGA-PBE) for Ca2Ga2Cu15 after structural relaxation.

Properties
M_tot ... 0.00 μB per formula unit
Crystal system ... trigonal

a = 8.6636 Å, b = 8.6636 Å, c = 12.6194 Å
α = 90.00°, β = 90.00°, γ = 120.00°
Space group R-3m (No. 166, hexagonal axes)
Symmetry-distinct sites (fractional):
Ca: 0.0000 0.0000 0.1512 x6
Ga: 0.0000 0.0000 0.3961 x6
Cu: 0.0000 0.3012 0.5000 x18
Cu: 0.0000 0.5000 0.0000 x9
Cu: 0.0012 0.5006 0.3447 x18


# 5
Density functional theory data (GGA-PBE) for Ca3Ga3Cu2 after structural relaxation.

Properties
Energy relative to the lowest polymorph listed for this composition ... 0.000 eV per atom
M_tot ... 0.00 μB per formula unit
Crystal system ... orthorhombic

a = 4.476 Å, b = 10.406 Å, c = 14.830 Å
α = 90.00°, β = 90.00°, γ = 90.00°
Space group Cmcm (No. 63)
Symmetry-distinct sites (fractional):
Ca: 0.000 0.090 0.108 x8
Ca: 0.000 0.383 0.250 x4
Ga: 0.000 0.316 0.750 x4
Ga: 0.000 0.377 0.038 x8
Cu: 0.000 0.205 0.598 x8


# 6
Density functional theory data (GGA-PBE) for Ca2Ga5Cu after structural relaxation.

Properties
M_tot ... 0.00 μB per formula unit
Crystal system ... orthorhombic

a = 4.289 Å, b = 16.613 Å, c = 9.149 Å
α = 90.00°, β = 90.00°, γ = 90.00°
Space group Cmcm (No. 63)
Symmetry-distinct sites (fractional):
Ca: 0.000 0.000 0.000 x4
Ca: 0.000 0.198 0.250 x4
Ga: 0.000 0.192 0.605 x8
Ga: 0.000 0.358 0.530 x8
Ga: 0.000 0.410 0.250 x4
Cu: 0.000 0.444 0.750 x4


# 7
Density functional theory data (GGA-PBE) for CaGaCu5 after structural relaxation.

Properties
M_tot ... 0.00 μB per formula unit
Crystal system ... orthorhombic

a = 8.094 Å, b = 5.100 Å, c = 10.196 Å
α = 90.00°, β = 90.00°, γ = 90.00°
Space group Pnma (No. 62)
Symmetry-distinct sites (fractional):
Ca: 0.241 0.250 0.060 x4
Ga: 0.146 0.750 0.856 x4
Cu: 0.066 0.006 0.308 x8
Cu: 0.067 0.750 0.094 x4
Cu: 0.097 0.250 0.518 x4
Cu: 0.182 0.250 0.755 x4


# 8
Density functional theory data (GGA-PBE) for Ca2Ga3Cu after structural relaxation.

Properties
Energy relative to the lowest polymorph listed for this composition ... 0.000 eV per atom
M_tot ... 0.00 μB per formula unit
Crystal system ... monoclinic

a = 10.585 Å, b = 4.438 Å, c = 7.230 Å
α = 90.00°, β = 132.65°, γ = 90.00°
Space group Cm (No. 8)
Symmetry-distinct sites (fractional):
Ca: 0.000 0.000 0.000 x2
Ca: 0.092 0.000 0.591 x2
Ga: 0.209 0.500 0.396 x2
Ga: 0.373 0.000 0.181 x2
Ga: 0.394 0.000 0.593 x2
Cu: 0.214 0.500 0.020 x2


# 9
Density functional theory data (GGA-PBE) for Ca2GaCu after structural relaxation.

Properties
M_tot ... 0.00 μB per formula unit
Crystal system ... tetragonal

a = 5.195 Å, b = 5.195 Å, c = 3.512 Å
α = 90.00°, β = 90.00°, γ = 90.00°
Space group P4/mmm (No. 123)
Symmetry-distinct sites (fractional):
Ca: 0.000 0.500 0.000 x2
Ga: 0.000 0.000 0.500 x1
Cu: 0.500 0.500 0.500 x1


# 10
Density functional theory data (GGA-PBE) for Ca6Ga5Cu after structural relaxation.

Properties
M_tot ... 0.00 μB per formula unit
Crystal system ... monoclinic

a = 5.143 Å, b = 7.392 Å, c = 8.108 Å
α = 90.00°, β = 107.50°, γ = 90.00°
Space group P2/m (No. 10)
Symmetry-distinct sites (fractional):
Ca: 0.000 0.246 0.000 x2
Ca: 0.342 0.249 0.673 x4
Ga: 0.160 0.000 0.345 x2
Ga: 0.162 0.500 0.337 x2
Ga: 0.500 0.500 0.000 x1
Cu: 0.500 0.000 0.000 x1


# 11
Density functional theory data (GGA-PBE) for CaGaCu3 after structural relaxation.

Properties
M_tot ... 0.00 μB per formula unit
Crystal system ... cubic

a = 4.599 Å, b = 4.599 Å, c = 4.599 Å
α = 90.00°, β = 90.00°, γ = 90.00°
Space group Pm-3m (No. 221)
Symmetry-distinct sites (fractional):
Ca: 0.000 0.000 0.000 x1
Ga: 0.500 0.500 0.500 x1
Cu: 0.000 0.500 0.500 x3


# 12
Density functional theory data (GGA-PBE) for Ca2Ga6Cu3 after structural relaxation.

Properties
M_tot ... 0.00 μB per formula unit
Crystal system ... hexagonal

a = 7.5997 Å, b = 7.5997 Å, c = 4.1176 Å
α = 90.00°, β = 90.00°, γ = 120.00°
Space group P-62m (No. 189)
Symmetry-distinct sites (fractional):
Ca: 0.3333 0.6667 0.0000 x2
Ga: 0.0000 0.1993 0.0000 x3
Ga: 0.0000 0.6933 0.5000 x3
Cu: 0.0000 0.3663 0.5000 x3


Number 1: total energy -2.582 eV per atom, calculated volume 31.1 A^3/atom. Number 2: total energy -3.653 eV per atom, calculated volume 14.8 A^3/atom. Number 3: total energy -3.286 eV per atom, calculated volume 19.5 A^3/atom. Number 4: total energy -3.872 eV per atom, calculated volume 14.4 A^3/atom. Number 5: total energy -3.288 eV per atom, calculated volume 21.6 A^3/atom. Number 6: total energy -3.283 eV per atom, calculated volume 20.4 A^3/atom. Number 7: total energy -3.807 eV per atom, calculated volume 15.0 A^3/atom. Number 8: total energy -3.315 eV per atom, calculated volume 20.8 A^3/atom. Number 9: total energy -3.011 eV per atom, calculated volume 23.7 A^3/atom. Number 10: total energy -2.976 eV per atom, calculated volume 24.5 A^3/atom. Number 11: total energy -3.390 eV per atom, calculated volume 19.5 A^3/atom. Number 12: total energy -3.457 eV per atom, calculated volume 18.7 A^3/atom.